DFT (GGA-PBE) results for a relaxed CaPr2Sm2 crystal.

Computed properties:
magnetization	0.0	Bohr magnetons per cell
D(E_F)	19.37	states/eV/cell
formation energy from the elements	24	meV per atom

a b c (Å): 3.6947 3.6947 45.7888
angles (deg): 90.00 90.00 120.00
Space group R-3m (No. 166, hexagonal axes)
Inequivalent atoms, fractional coordinates:
Ca (0.0000, 0.0000, 0.0000) x3
Pr (0.0000, 0.0000, 0.4039) x6
Sm (0.0000, 0.0000, 0.1991) x6

***

DFT (GGA-PBE) results for a relaxed Li4Tl3Bi2 crystal.

Computed properties:
magnetization	0.0	Bohr magnetons per cell
D(E_F)	6.38	states/eV/cell
formation energy from the elements	-284	meV per atom

a b c (Å): 8.5689 4.9414 10.4362
angles (deg): 90.00 90.13 90.00
Space group C2/m (No. 12)
Inequivalent atoms, fractional coordinates:
Li (0.0014, 0.0000, 0.2935) x4
Li (0.1659, 0.5000, 0.8975) x4
Tl (0.0000, 0.0000, 0.0000) x2
Tl (0.1661, 0.5000, 0.5798) x4
Bi (0.1676, 0.5000, 0.2056) x4

***

DFT (GGA-PBE) results for a relaxed PmSmPt crystal.

Computed properties:
magnetization	0.0	Bohr magnetons per cell
energy above the most stable polymorph in this dataset	194	meV/atom
D(E_F)	3.32	states/eV/cell
formation energy from the elements	-623	meV per atom

a b c (Å): 4.7054 4.7054 4.2688
angles (deg): 90.00 90.00 120.00
Space group P3m1 (No. 156)
Inequivalent atoms, fractional coordinates:
Pm (0.0000, 0.0000, 0.0000) x1
Sm (0.6667, 0.3333, 0.5349) x1
Pt (0.3333, 0.6667, 0.2760) x1

***

DFT (GGA-PBE) results for a relaxed Ti3SiRu4 crystal.

Computed properties:
magnetization	0.0	Bohr magnetons per cell
D(E_F)	2.70	states/eV/cell
formation energy without anion corrections	-0.8118	eV per atom

a b c (Å): 4.2965 4.2965 21.1555
angles (deg): 90.00 90.00 120.00
Space group R-3m (No. 166, hexagonal axes)
Inequivalent atoms, fractional coordinates:
Ti (0.0000, 0.0000, 0.0000) x3
Ti (0.0000, 0.0000, 0.2473) x6
Si (0.0000, 0.0000, 0.5000) x3
Ru (0.0000, 0.0000, 0.1252) x6
Ru (0.0000, 0.0000, 0.3757) x6

***

DFT (GGA-PBE) results for a relaxed Pm2NdSn crystal.

Computed properties:
magnetization	0.0	Bohr magnetons per cell
energy above the most stable polymorph in this dataset	198	meV/atom
D(E_F)	32.21	states/eV/cell
formation energy from the elements	-253	meV per atom

a b c (Å): 7.8476 7.8476 7.8476
angles (deg): 90.00 90.00 90.00
Space group Fm-3m (No. 225)
Inequivalent atoms, fractional coordinates:
Pm (0.2500, 0.2500, 0.2500) x8
Nd (0.0000, 0.0000, 0.0000) x4
Sn (0.0000, 0.0000, 0.5000) x4

***

DFT (GGA-PBE) results for a relaxed Li3MgPd crystal.

Computed properties:
magnetization	0.0	Bohr magnetons per cell
energy above the most stable polymorph in this dataset	0	meV/atom
D(E_F)	6.21	states/eV/cell
formation energy from the elements	-278	meV per atom

a b c (Å): 16.4386 4.4619 4.5209
angles (deg): 90.00 90.04 90.00
Space group C2/m (No. 12)
Inequivalent atoms, fractional coordinates:
Li (0.0612, 0.0000, 0.2498) x4
Li (0.1677, 0.5000, 0.2510) x4
Li (0.2486, 0.0000, 0.2492) x4
Mg (0.0644, 0.5000, 0.7502) x4
Pd (0.1563, 0.0000, 0.7495) x4

***

Look up the magnetization of the second one.
0.0 Bohr magnetons per cell

***

The lowest D(E_F) belongs to which entry?
Ti3SiRu4

***

Look up the magnetization of the third one.
0.0 Bohr magnetons per cell